Below is crystalline Sr2PdPt2 at its relaxed geometry, with properties calculated at the PBE-GGA level.

Crystal system = monoclinic
DOS at the Fermi energy = 0.43 states/eV per atom
Symmetry = C2/c
Energy above the lowest structure with this stoichiometry = 0.0379 eV per atom
Total moment = 0.0 Bohr magnetons per cell
Calculated total energy = -48.692 eV/cell

Unit cell a=5.6509 b=5.6509 c=8.6616 alpha=101.35 beta=101.35 gamma=61.59
Element x y z (fractional)
Sr 0.0148 0.2881 0.1544
Sr 0.2881 0.0148 0.6544
Sr 0.7119 0.9852 0.3456
Sr 0.9852 0.7119 0.8456
Pd 0.3582 0.6418 0.2500
Pd 0.6418 0.3582 0.7500
Pt 0.2372 0.5019 0.4957
Pt 0.4981 0.7628 0.0043
Pt 0.5019 0.2372 0.9957
Pt 0.7628 0.4981 0.5043

---

Below is crystalline Nb4MoW at its relaxed geometry, with properties calculated at the PBE-GGA level.

Crystal system = tetragonal
DOS at the Fermi energy = 0.93 states/eV per atom
Symmetry = P4/mmm
Energy above the lowest structure with this stoichiometry = 0.7343 eV per atom
Total moment = 0.0 Bohr magnetons per cell
Calculated total energy = -60.117 eV/cell

Unit cell a=4.4358 b=4.4358 c=6.2702 alpha=90.00 beta=90.00 gamma=90.00
Element x y z (fractional)
Nb 0.0000 0.5000 0.2495
Nb 0.0000 0.5000 0.7505
Nb 0.5000 0.0000 0.2495
Nb 0.5000 0.0000 0.7505
Mo 0.0000 0.0000 0.0000
W 0.5000 0.5000 0.5000

---

Below is crystalline La2Pr4Y7 at its relaxed geometry, with properties calculated at the PBE-GGA level.

Crystal system = triclinic
DOS at the Fermi energy = 1.53 states/eV per atom
Symmetry = P-1
Total moment = 0.0 Bohr magnetons per cell
Calculated total energy = -74.011 eV/cell

Unit cell a=6.3083 b=8.1429 c=9.6302 alpha=114.87 beta=90.00 gamma=97.55
Element x y z (fractional)
La 0.2300 0.3835 0.4234
La 0.7700 0.6165 0.5766
Pr 0.3069 0.8479 0.7308
Pr 0.3855 0.3075 0.0371
Pr 0.6145 0.6925 0.9629
Pr 0.6931 0.1521 0.2692
Y 0.0000 0.0000 0.5000
Y 0.0775 0.4595 0.8090
Y 0.1527 0.9204 0.1159
Y 0.4601 0.7704 0.3452
Y 0.5399 0.2296 0.6548
Y 0.8473 0.0796 0.8841
Y 0.9225 0.5405 0.1910

---

Below is crystalline ScCd2I at its relaxed geometry, with properties calculated at the PBE-GGA level.

Formation energy without anion corrections = 0.288 eV/atom
Crystal system = cubic
DOS at the Fermi energy = 1.07 states/eV per atom
Symmetry = Fm-3m
Energy above the lowest structure with this stoichiometry = 0.3151 eV per atom
Total moment = 0.0 Bohr magnetons per cell
Calculated total energy = -34.247 eV/cell

Unit cell a=7.6549 b=7.6549 c=7.6549 alpha=90.00 beta=90.00 gamma=90.00
Element x y z (fractional)
Sc 0.0000 0.0000 0.0000
Sc 0.0000 0.5000 0.5000
Sc 0.5000 0.0000 0.5000
Sc 0.5000 0.5000 0.0000
Cd 0.2500 0.2500 0.2500
Cd 0.2500 0.2500 0.7500
Cd 0.2500 0.7500 0.2500
Cd 0.2500 0.7500 0.7500
Cd 0.7500 0.2500 0.2500
Cd 0.7500 0.2500 0.7500
Cd 0.7500 0.7500 0.2500
Cd 0.7500 0.7500 0.7500
I 0.0000 0.0000 0.5000
I 0.0000 0.5000 0.0000
I 0.5000 0.0000 0.0000
I 0.5000 0.5000 0.5000

---

Below is crystalline Tb2YTh3 at its relaxed geometry, with properties calculated at the PBE-GGA level.

Crystal system = orthorhombic
DOS at the Fermi energy = 1.24 states/eV per atom
Symmetry = Cmcm
Energy above the lowest structure with this stoichiometry = 0.0579 eV per atom
Total moment = 0.0 Bohr magnetons per cell
Calculated total energy = -73.759 eV/cell

Unit cell a=7.6336 b=7.6336 c=6.7327 alpha=90.00 beta=90.00 gamma=95.81
Element x y z (fractional)
Tb 0.0631 0.6044 0.7500
Tb 0.3956 0.9369 0.7500
Tb 0.6044 0.0631 0.2500
Tb 0.9369 0.3956 0.2500
Y 0.2693 0.7307 0.2500
Y 0.7307 0.2693 0.7500
Th 0.0000 0.0000 0.0000
Th 0.0000 0.0000 0.5000
Th 0.3327 0.3327 0.0000
Th 0.3327 0.3327 0.5000
Th 0.6673 0.6673 0.0000
Th 0.6673 0.6673 0.5000

---

Below is crystalline PrSm2SnC at its relaxed geometry, with properties calculated at the PBE-GGA level.

Crystal system = tetragonal
DOS at the Fermi energy = 0.50 states/eV per atom
Symmetry = P4/mmm
Total moment = 0.0 Bohr magnetons per cell
Calculated total energy = -29.924 eV/cell

Unit cell a=5.0391 b=5.0391 c=5.1453 alpha=90.00 beta=90.00 gamma=90.00
Element x y z (fractional)
Pr 0.0000 0.0000 0.0000
Sm 0.0000 0.5000 0.5000
Sm 0.5000 0.0000 0.5000
Sn 0.5000 0.5000 0.0000
C 0.0000 0.0000 0.5000

---

Below is crystalline Sr2HgRh at its relaxed geometry, with properties calculated at the PBE-GGA level.

Crystal system = tetragonal
DOS at the Fermi energy = 0.76 states/eV per atom
Symmetry = P4/mmm
Total moment = 0.0 Bohr magnetons per cell
Calculated total energy = -12.267 eV/cell

Unit cell a=3.7356 b=3.7356 c=7.9604 alpha=90.00 beta=90.00 gamma=90.00
Element x y z (fractional)
Sr 0.0000 0.0000 0.2209
Sr 0.0000 0.0000 0.7791
Hg 0.5000 0.5000 0.5000
Rh 0.5000 0.5000 0.0000

---

Below is crystalline Np3SiSe2O6 at its relaxed geometry, with properties calculated at the PBE-GGA level.

Formation energy without anion corrections = -1.960 eV/atom
Crystal system = monoclinic
DOS at the Fermi energy = 1.64 states/eV per atom
Symmetry = C2/m
Total moment = 9.0 Bohr magnetons per cell
Calculated total energy = -104.484 eV/cell

Unit cell a=6.7487 b=6.7487 c=5.1338 alpha=98.07 beta=98.07 gamma=55.25
Element x y z (fractional)
Np 0.0000 0.0000 0.0000
Np 0.0000 0.5000 0.5000
Np 0.5000 0.0000 0.5000
Si 0.5000 0.5000 0.5000
Se 0.2142 0.2142 0.9203
Se 0.7858 0.7858 0.0797
O 0.1978 0.6878 0.7079
O 0.3122 0.8022 0.2921
O 0.3659 0.3659 0.3477
O 0.6341 0.6341 0.6523
O 0.6878 0.1978 0.7079
O 0.8022 0.3122 0.2921

---

Below is crystalline MgBrO2 at its relaxed geometry, with properties calculated at the PBE-GGA level.

Formation energy without anion corrections = -1.111 eV/atom
Crystal system = triclinic
DOS at the Fermi energy = 0.00 states/eV per atom
Symmetry = P1
Energy above the lowest structure with this stoichiometry = 0.1028 eV per atom
Total moment = 0.0 Bohr magnetons per cell
Calculated total energy = -35.256 eV/cell

Unit cell a=3.6888 b=6.0916 c=6.1992 alpha=118.86 beta=91.98 gamma=90.42
Element x y z (fractional)
Mg 0.0000 0.0000 0.0000
Mg 0.4790 0.5236 0.8486
Br 0.4000 0.0173 0.4588
Br 0.8372 0.4811 0.3913
O 0.3240 0.2117 0.8833
O 0.4897 0.8962 0.1107
O 0.7076 0.2827 0.9746
O 0.9714 0.6195 0.7479

---

Below is crystalline Al2CrCd at its relaxed geometry, with properties calculated at the PBE-GGA level.

Crystal system = trigonal
DOS at the Fermi energy = 0.77 states/eV per atom
Symmetry = R-3m
Total moment = 5.7 Bohr magnetons per cell
Calculated total energy = -52.214 eV/cell

Unit cell a=2.8986 b=2.8986 c=27.7235 alpha=90.00 beta=90.00 gamma=120.00
Element x y z (fractional)
Al 0.0000 0.0000 0.2383
Al 0.0000 0.0000 0.7617
Al 0.3333 0.6667 0.4283
Al 0.3333 0.6667 0.9050
Al 0.6667 0.3333 0.0950
Al 0.6667 0.3333 0.5717
Cr 0.0000 0.0000 0.5000
Cr 0.3333 0.6667 0.1667
Cr 0.6667 0.3333 0.8333
Cd 0.0000 0.0000 0.0000
Cd 0.3333 0.6667 0.6667
Cd 0.6667 0.3333 0.3333

---

Below is crystalline Zn2ReSe at its relaxed geometry, with properties calculated at the PBE-GGA level.

Formation energy without anion corrections = 0.388 eV/atom
Crystal system = orthorhombic
DOS at the Fermi energy = 0.72 states/eV per atom
Symmetry = Cmm2
Energy above the lowest structure with this stoichiometry = 0.1959 eV per atom
Total moment = 0.0 Bohr magnetons per cell
Calculated total energy = -33.853 eV/cell

Unit cell a=2.9226 b=4.8998 c=10.2036 alpha=90.00 beta=90.00 gamma=90.00
Element x y z (fractional)
Zn 0.0000 0.0000 0.0000
Zn 0.0000 0.5000 0.2261
Zn 0.5000 0.0000 0.2261
Zn 0.5000 0.5000 0.0000
Re 0.0000 0.0000 0.4460
Re 0.5000 0.5000 0.4460
Se 0.0000 0.5000 0.6441
Se 0.5000 0.0000 0.6441

---

Below is crystalline LiThZrRe at its relaxed geometry, with properties calculated at the PBE-GGA level.

Crystal system = cubic
DOS at the Fermi energy = 1.45 states/eV per atom
Symmetry = F-43m
Total moment = 0.0 Bohr magnetons per cell
Calculated total energy = -121.237 eV/cell

Unit cell a=6.9249 b=6.9249 c=6.9249 alpha=90.00 beta=90.00 gamma=90.00
Element x y z (fractional)
Li 0.0000 0.0000 0.0000
Li 0.0000 0.5000 0.5000
Li 0.5000 0.0000 0.5000
Li 0.5000 0.5000 0.0000
Th 0.2500 0.2500 0.7500
Th 0.2500 0.7500 0.2500
Th 0.7500 0.2500 0.2500
Th 0.7500 0.7500 0.7500
Zr 0.2500 0.2500 0.2500
Zr 0.2500 0.7500 0.7500
Zr 0.7500 0.2500 0.7500
Zr 0.7500 0.7500 0.2500
Re 0.0000 0.0000 0.5000
Re 0.0000 0.5000 0.0000
Re 0.5000 0.0000 0.0000
Re 0.5000 0.5000 0.5000

---

Below is crystalline TlZnNi3 at its relaxed geometry, with properties calculated at the PBE-GGA level.

Crystal system = cubic
DOS at the Fermi energy = 1.03 states/eV per atom
Symmetry = Pm-3m
Energy above the lowest structure with this stoichiometry = 0.6313 eV per atom
Total moment = 0.0 Bohr magnetons per cell
Calculated total energy = -14.441 eV/cell

Unit cell a=4.7412 b=4.7412 c=4.7412 alpha=90.00 beta=90.00 gamma=90.00
Element x y z (fractional)
Tl 0.0000 0.0000 0.0000
Zn 0.5000 0.5000 0.5000
Ni 0.0000 0.0000 0.5000
Ni 0.0000 0.5000 0.0000
Ni 0.5000 0.0000 0.0000

---

Below is crystalline KMn at its relaxed geometry, with properties calculated at the PBE-GGA level.

Crystal system = monoclinic
DOS at the Fermi energy = 1.07 states/eV per atom
Symmetry = P2_1/m
Energy above the lowest structure with this stoichiometry = 0.0599 eV per atom
Total moment = 8.1 Bohr magnetons per cell
Calculated total energy = -17.314 eV/cell

Unit cell a=3.4222 b=3.9970 c=10.2078 alpha=90.00 beta=90.59 gamma=90.00
Element x y z (fractional)
K 0.2367 0.2500 0.2022
K 0.7633 0.7500 0.7978
Mn 0.2508 0.2500 0.5295
Mn 0.7492 0.7500 0.4705

---

Below is crystalline AcTbZn2 at its relaxed geometry, with properties calculated at the PBE-GGA level.

Crystal system = trigonal
DOS at the Fermi energy = 1.15 states/eV per atom
Symmetry = R-3m
Total moment = 0.0 Bohr magnetons per cell
Calculated total energy = -34.580 eV/cell

Unit cell a=3.8204 b=3.8204 c=27.3742 alpha=90.00 beta=90.00 gamma=120.00
Element x y z (fractional)
Ac 0.0000 0.0000 0.0000
Ac 0.3333 0.6667 0.6667
Ac 0.6667 0.3333 0.3333
Tb 0.0000 0.0000 0.5000
Tb 0.3333 0.6667 0.1667
Tb 0.6667 0.3333 0.8333
Zn 0.0000 0.0000 0.2426
Zn 0.0000 0.0000 0.7574
Zn 0.3333 0.6667 0.4240
Zn 0.3333 0.6667 0.9093
Zn 0.6667 0.3333 0.0907
Zn 0.6667 0.3333 0.5760

---

Below is crystalline Pr2Sb3Pd5 at its relaxed geometry, with properties calculated at the PBE-GGA level.

Formation energy without anion corrections = -0.790 eV/atom
Crystal system = orthorhombic
DOS at the Fermi energy = 0.54 states/eV per atom
Symmetry = Cmc2_1
Total moment = 0.0 Bohr magnetons per cell
Calculated total energy = -111.581 eV/cell

Unit cell a=13.0946 b=13.0946 c=7.1895 alpha=90.00 beta=90.00 gamma=159.72
Element x y z (fractional)
Pr 0.0166 0.9834 0.5000
Pr 0.3241 0.6759 0.4912
Pr 0.6759 0.3241 0.9912
Pr 0.9834 0.0166 0.0000
Sb 0.1083 0.8917 0.7922
Sb 0.2785 0.7215 0.9519
Sb 0.4465 0.5535 0.7057
Sb 0.5535 0.4465 0.2057
Sb 0.7215 0.2785 0.4519
Sb 0.8917 0.1083 0.2922
Pd 0.1082 0.8918 0.1894
Pd 0.2076 0.7924 0.6617
Pd 0.2203 0.7797 0.2535
Pd 0.3805 0.6195 0.0041
Pd 0.4486 0.5514 0.3134
Pd 0.5514 0.4486 0.8134
Pd 0.6195 0.3805 0.5041
Pd 0.7797 0.2203 0.7535
Pd 0.7924 0.2076 0.1617
Pd 0.8918 0.1082 0.6894

---

Below is crystalline Cs6H2Au3I at its relaxed geometry, with properties calculated at the PBE-GGA level.

Crystal system = monoclinic
DOS at the Fermi energy = 0.00 states/eV per atom
Symmetry = C2/m
Total moment = 0.1 Bohr magnetons per cell
Calculated total energy = -28.521 eV/cell

Unit cell a=11.3615 b=11.3615 c=10.2818 alpha=103.42 beta=103.42 gamma=25.91
Element x y z (fractional)
Cs 0.0145 0.0145 0.2715
Cs 0.3251 0.3251 0.4315
Cs 0.3262 0.3262 0.8954
Cs 0.6738 0.6738 0.1046
Cs 0.6749 0.6749 0.5685
Cs 0.9855 0.9855 0.7285
H 0.1738 0.1738 0.3446
H 0.8262 0.8262 0.6554
Au 0.1608 0.1608 0.8268
Au 0.5000 0.5000 0.5000
Au 0.8392 0.8392 0.1732
I 0.5000 0.5000 0.0000

---

Below is crystalline SrBe2Se2 at its relaxed geometry, with properties calculated at the PBE-GGA level.

Formation energy without anion corrections = -0.054 eV/atom
Crystal system = tetragonal
DOS at the Fermi energy = 0.50 states/eV per atom
Symmetry = P4/mbm
Energy above the lowest structure with this stoichiometry = 0.3176 eV per atom
Total moment = 0.0 Bohr magnetons per cell
Calculated total energy = -32.745 eV/cell

Unit cell a=7.7041 b=7.7041 c=3.4852 alpha=90.00 beta=90.00 gamma=90.00
Element x y z (fractional)
Sr 0.0000 0.0000 0.0000
Sr 0.5000 0.5000 0.0000
Be 0.0973 0.4027 0.5000
Be 0.4027 0.9027 0.5000
Be 0.5973 0.0973 0.5000
Be 0.9027 0.5973 0.5000
Se 0.1401 0.6401 0.0000
Se 0.3599 0.1401 0.0000
Se 0.6401 0.8599 0.0000
Se 0.8599 0.3599 0.0000

---

Below is crystalline Pr8Tm2Tl at its relaxed geometry, with properties calculated at the PBE-GGA level.

Crystal system = monoclinic
DOS at the Fermi energy = 1.63 states/eV per atom
Symmetry = C2/m
Energy above the lowest structure with this stoichiometry = 0.1157 eV per atom
Total moment = 0.0 Bohr magnetons per cell
Calculated total energy = -48.756 eV/cell

Unit cell a=8.4851 b=8.4851 c=5.5016 alpha=90.05 beta=90.05 gamma=103.41
Element x y z (fractional)
Pr 0.1651 0.1651 0.9999
Pr 0.1993 0.4724 0.4991
Pr 0.2479 0.7521 0.0000
Pr 0.4724 0.1993 0.4991
Pr 0.5276 0.8007 0.5009
Pr 0.7521 0.2479 0.0000
Pr 0.8007 0.5276 0.5009
Pr 0.8349 0.8349 0.0001
Tm 0.1211 0.8789 0.5000
Tm 0.8789 0.1211 0.5000
Tl 0.5000 0.5000 0.0000

---

Below is crystalline YSe2NCl at its relaxed geometry, with properties calculated at the PBE-GGA level.

Formation energy without anion corrections = 0.491 eV/atom
Crystal system = tetragonal
DOS at the Fermi energy = 0.42 states/eV per atom
Symmetry = P4/mmm
Energy above the lowest structure with this stoichiometry = 0.0712 eV per atom
Total moment = 1.1 Bohr magnetons per cell
Calculated total energy = -21.149 eV/cell

Unit cell a=4.9586 b=4.9586 c=4.0867 alpha=90.00 beta=90.00 gamma=90.00
Element x y z (fractional)
Y 0.0000 0.0000 0.0000
Se 0.0000 0.5000 0.5000
Se 0.5000 0.0000 0.5000
N 0.5000 0.5000 0.0000
Cl 0.5000 0.5000 0.5000

---

Below is crystalline SrLa2Sb at its relaxed geometry, with properties calculated at the PBE-GGA level.

Formation energy without anion corrections = -0.488 eV/atom
Crystal system = tetragonal
DOS at the Fermi energy = 1.41 states/eV per atom
Symmetry = P4mm
Total moment = 0.4 Bohr magnetons per cell
Calculated total energy = -17.609 eV/cell

Unit cell a=4.2409 b=4.2409 c=8.0848 alpha=90.00 beta=90.00 gamma=90.00
Element x y z (fractional)
Sr 0.0000 0.0000 0.0000
La 0.0000 0.0000 0.5738
La 0.5000 0.5000 0.3318
Sb 0.5000 0.5000 0.7542

---

Below is crystalline LiLaF3 at its relaxed geometry, with properties calculated at the PBE-GGA level.

Formation energy without anion corrections = -3.229 eV/atom
Crystal system = monoclinic
DOS at the Fermi energy = 0.28 states/eV per atom
Symmetry = P2_1/c
Energy above the lowest structure with this stoichiometry = 0.0000 eV per atom
Total moment = 0.0 Bohr magnetons per cell
Calculated total energy = -114.398 eV/cell

Unit cell a=7.1428 b=5.1415 c=8.0032 alpha=90.00 beta=105.78 gamma=90.00
Element x y z (fractional)
Li 0.0678 0.2343 0.0219
Li 0.0678 0.2657 0.5219
Li 0.9322 0.7343 0.4781
Li 0.9322 0.7657 0.9781
La 0.3323 0.7257 0.3356
La 0.3323 0.7743 0.8356
La 0.6677 0.2257 0.1644
La 0.6677 0.2743 0.6644
F 0.0181 0.0034 0.8307
F 0.0181 0.4966 0.3307
F 0.1880 0.5568 0.0448
F 0.1880 0.9432 0.5448
F 0.4235 0.1939 0.3550
F 0.4235 0.3061 0.8550
F 0.5765 0.6939 0.1450
F 0.5765 0.8061 0.6450
F 0.8120 0.0568 0.4552
F 0.8120 0.4432 0.9552
F 0.9819 0.5034 0.6693
F 0.9819 0.9966 0.1693